Entry from Alexandria via LeMat-Bulk: a relaxed Ba2WF8 crystal (PBE with a Hubbard U).

```
Ba2WF8
1.0
-0.4223 -4.8869 -1.0687
5.9800 -4.0449 1.1605
-0.8132 -4.4588 5.7381
Ba W F
2 1 8
direct
0.0350 0.6630 0.6630
0.9650 0.3370 0.3370
0.0000 0.0000 0.0000
0.0068 0.2937 0.9467
0.9932 0.0533 0.7063
0.4625 0.8862 0.8862
0.5375 0.1138 0.1138
0.0068 0.9467 0.2937
0.9932 0.7063 0.0533
0.6304 0.5887 0.5887
0.3696 0.4113 0.4113
```

Summary:
As for the space group: C2/m, No. 12. For the uncorrected energy, the calculation gives -5.751 eV per atom. Its magnetic moment is 0.182 μB per atom. Its density of states at the Fermi level is 0.00 states/eV/atom. As for the volume: 19.3 Å³/atom.